An optimized crystal structure of Th6TcOs2S3, computed with PBE-GGA.

```
Th6TcOs2S3
1.0
4.075 0.000 0.000
0.000 8.555 0.028
-2.037 -2.753 8.833
Th Tc Os S
6 1 2 3
direct
0.340 0.905 0.680 Th
0.673 0.567 0.346 Th
0.660 0.095 0.320 Th
0.004 0.235 0.009 Th
0.996 0.765 0.991 Th
0.327 0.433 0.654 Th
0.500 0.000 0.000 Tc
0.833 0.668 0.667 Os
0.167 0.332 0.333 Os
0.500 0.500 0.000 S
0.834 0.168 0.667 S
0.166 0.832 0.333 S
```

Space group: C2/m
Uncorrected formation energy: -982 meV per atom

An optimized crystal structure of TeOsS2, computed with PBE-GGA.

```
TeOsS2
1.0
1.812 0.000 8.954
-0.906 1.569 8.954
-0.906 -1.569 8.954
S Te Os
2 1 1
direct
0.918 0.918 0.918 S
0.082 0.082 0.082 S
0.500 0.500 0.500 Te
0.000 0.000 0.000 Os
```

Space group: R-3m
Uncorrected formation energy: 753 meV per atom

An optimized crystal structure of TeOs3S, computed with PBE-GGA.

```
TeOs3S
1.0
4.443 0.000 0.000
0.000 4.443 0.000
0.000 0.000 4.443
S Te Os
1 1 3
direct
0.000 0.000 0.000 S
0.500 0.500 0.500 Te
0.000 0.500 0.000 Os
0.000 0.000 0.500 Os
0.500 0.000 0.000 Os
```

Space group: Pm-3m
Uncorrected formation energy: 1316 meV per atom
Offset from the most stable computed form: 0 meV per atom

An optimized crystal structure of Te3OsS, computed with PBE-GGA.

```
Te3OsS
1.0
5.035 0.000 0.000
0.000 5.035 0.000
0.000 0.000 5.035
S Te Os
1 3 1
direct
0.000 0.000 0.000 S
0.000 0.500 0.000 Te
0.000 0.000 0.500 Te
0.500 0.000 0.000 Te
0.500 0.500 0.500 Os
```

Space group: Pm-3m
Uncorrected formation energy: 1553 meV per atom
Offset from the most stable computed form: 660 meV per atom

An optimized crystal structure of TeOsS2, computed with PBE-GGA.

```
TeOsS2
1.0
-0.410 -5.712 -3.075
6.411 0.115 -1.069
3.667 -4.879 1.704
S Te Os
4 2 2
direct
0.711 0.125 0.250 S
0.039 0.625 0.250 S
0.375 0.289 0.750 S
0.875 0.961 0.750 S
0.500 0.500 0.000 Te
0.250 0.750 0.500 Te
0.000 0.000 0.000 Os
0.750 0.250 0.500 Os
```

Space group: I-42d
Uncorrected formation energy: 349 meV per atom

An optimized crystal structure of Te2OsS, computed with PBE-GGA.

```
Te2OsS
1.0
6.630 0.000 0.000
0.000 6.630 0.000
3.315 3.315 5.270
S Te Os
2 4 2
direct
0.500 0.500 0.000 S
0.250 0.750 0.500 S
0.668 0.125 0.250 Te
0.082 0.625 0.250 Te
0.375 0.332 0.750 Te
0.875 0.918 0.750 Te
0.000 0.000 0.000 Os
0.750 0.250 0.500 Os
```

Space group: I-42d
Uncorrected formation energy: 539 meV per atom

An optimized crystal structure of Te2OsS, computed with PBE-GGA.

```
Te2OsS
1.0
-2.642 -7.433 -1.421
0.480 -6.971 -3.926
1.120 -7.936 -0.067
S Te Os
1 2 1
direct
0.000 0.000 0.000 S
0.891 0.891 0.891 Te
0.109 0.109 0.109 Te
0.500 0.500 0.500 Os
```

Space group: R-3m
Uncorrected formation energy: 328 meV per atom

An optimized crystal structure of TeOsS2, computed with PBE-GGA.

```
TeOsS2
1.0
2.079 0.000 7.762
-1.039 1.800 7.762
-1.039 -1.800 7.762
S Te Os
2 1 1
direct
0.883 0.883 0.883 S
0.117 0.117 0.117 S
0.000 0.000 0.000 Te
0.500 0.500 0.500 Os
```

Space group: R-3m
Uncorrected formation energy: 37 meV per atom

An optimized crystal structure of Te2OsS, computed with PBE-GGA.

```
Te2OsS
1.0
1.873 0.000 9.425
-0.937 1.622 9.425
-0.937 -1.622 9.425
S Te Os
1 2 1
direct
0.500 0.500 0.500 S
0.910 0.910 0.910 Te
0.090 0.090 0.090 Te
0.000 0.000 0.000 Os
```

Space group: R-3m
Uncorrected formation energy: 1023 meV per atom

An optimized crystal structure of TeOsS3, computed with PBE-GGA.

```
TeOsS3
1.0
4.631 0.000 0.000
0.000 4.631 0.000
0.000 0.000 4.631
S Te Os
3 1 1
direct
0.000 0.500 0.000 S
0.000 0.000 0.500 S
0.500 0.000 0.000 S
0.500 0.500 0.500 Te
0.000 0.000 0.000 Os
```

Space group: Pm-3m
Uncorrected formation energy: 470 meV per atom
Offset from the most stable computed form: 0 meV per atom

An optimized crystal structure of Te3OsS, computed with PBE-GGA.

```
Te3OsS
1.0
-4.486 -0.762 2.518
0.716 -5.143 -0.281
2.532 0.104 4.541
S Te Os
1 3 1
direct
0.500 0.500 0.500 S
0.000 0.500 0.000 Te
0.000 0.000 0.500 Te
0.500 0.000 0.000 Te
0.000 0.000 0.000 Os
```

Space group: Pm-3m
Uncorrected formation energy: 892 meV per atom
Offset from the most stable computed form: 0 meV per atom

An optimized crystal structure of TeOs3S, computed with PBE-GGA.

```
TeOs3S
1.0
-2.241 3.089 -3.039
-0.935 -3.685 -3.056
-4.231 -0.821 2.285
S Te Os
1 1 3
direct
0.500 0.500 0.500 S
0.000 0.000 0.000 Te
0.000 0.500 0.000 Os
0.000 0.000 0.500 Os
0.500 0.000 0.000 Os
```

Space group: Pm-3m
Uncorrected formation energy: 2799 meV per atom
Offset from the most stable computed form: 1482 meV per atom

An optimized crystal structure of Th6TeOs2S3, computed with PBE-GGA.

```
Th6TeOs2S3
1.0
-3.129 0.052 -2.703
4.755 -4.486 -5.591
-2.616 -6.610 6.066
Th Te Os S
6 1 2 3
direct
0.321 0.892 0.641 Th
0.672 0.565 0.344 Th
0.679 0.108 0.359 Th
0.009 0.279 0.018 Th
0.991 0.721 0.982 Th
0.328 0.435 0.656 Th
0.500 0.000 0.000 Te
0.831 0.671 0.662 Os
0.169 0.329 0.338 Os
0.500 0.500 0.000 S
0.845 0.171 0.689 S
0.155 0.829 0.311 S
```

Space group: C2/m
Uncorrected formation energy: -1173 meV per atom

An optimized crystal structure of Th4Te2OsS, computed with PBE-GGA.

```
Th4Te2OsS
1.0
4.150 0.000 0.000
0.000 7.406 0.147
0.000 -2.576 7.428
Th Te Os S
4 2 1 1
direct
0.500 0.239 0.210 Th
0.500 0.761 0.790 Th
0.000 0.279 0.794 Th
0.000 0.721 0.206 Th
0.500 0.000 0.500 Te
0.000 0.500 0.500 Te
0.500 0.500 0.000 Os
0.000 0.000 0.000 S
```

Space group: P2/m
Uncorrected formation energy: -1143 meV per atom

An optimized crystal structure of Th3TeOsS, computed with PBE-GGA.

```
Th3TeOsS
1.0
-0.728 -3.489 2.437
5.640 2.929 5.878
-8.127 3.887 3.138
Th Te Os S
6 2 2 2
direct
0.250 0.753 0.456 Th
0.750 0.878 0.108 Th
0.750 0.460 0.157 Th
0.750 0.247 0.544 Th
0.250 0.540 0.843 Th
0.250 0.122 0.892 Th
0.750 0.794 0.743 Te
0.250 0.206 0.257 Te
0.250 0.676 0.137 Os
0.750 0.324 0.863 Os
0.250 0.075 0.602 S
0.750 0.925 0.398 S
```

Space group: P2_1/m
Uncorrected formation energy: -888 meV per atom

An optimized crystal structure of ZnTeOsS2, computed with PBE-GGA.

```
ZnTeOsS2
1.0
5.067 0.000 0.000
0.000 5.071 0.000
0.000 0.000 5.067
Zn Te Os S
1 1 1 2
direct
0.000 0.500 0.000 Zn
0.000 0.000 0.000 Te
0.500 0.500 0.500 Os
0.000 0.000 0.500 S
0.500 0.000 0.000 S
```

Space group: P4/mmm
Uncorrected formation energy: 1649 meV per atom

An optimized crystal structure of ThOsS, computed with PBE-GGA.

```
ThOsS
1.0
3.716 0.000 0.000
0.000 3.716 0.000
0.000 0.000 9.244
Os Th S
2 2 2
direct
0.000 0.500 0.533 Os
0.500 0.000 0.467 Os
0.000 0.500 0.234 Th
0.500 0.000 0.766 Th
0.500 0.000 0.115 S
0.000 0.500 0.885 S
```

Space group: P4/nmm
Uncorrected formation energy: -767 meV per atom

An optimized crystal structure of Th3OsS2, computed with PBE-GGA.

```
Th3OsS2
1.0
3.985 -0.001 -0.910
-0.207 3.980 -0.911
-0.006 -0.005 9.197
Th Os S
3 1 2
direct
0.934 0.936 0.874 Th
0.270 0.272 0.547 Th
0.598 0.599 0.200 Th
0.434 0.436 0.874 Os
0.104 0.106 0.213 S
0.764 0.766 0.535 S
```

Space group: C2/m
Uncorrected formation energy: -1300 meV per atom

An optimized crystal structure of Th2OsS, computed with PBE-GGA.

```
Th2OsS
1.0
-3.944 0.929 -0.076
-2.608 -2.040 2.337
-1.142 4.492 6.161
Th Os S
2 1 1
direct
0.074 0.074 0.779 Th
0.261 0.261 0.217 Th
0.668 0.668 0.996 Os
0.497 0.497 0.508 S
```

Space group: R3m
Uncorrected formation energy: -964 meV per atom
Offset from the most stable computed form: 91 meV per atom

An optimized crystal structure of Th4OsS5, computed with PBE-GGA.

```
Th4OsS5
1.0
4.208 0.000 0.000
0.000 7.438 -1.248
-2.104 -2.337 8.856
Th Os S
4 1 5
direct
0.307 0.807 0.613 Th
0.000 0.764 0.000 Th
0.693 0.193 0.387 Th
0.000 0.236 0.000 Th
0.500 0.000 0.000 Os
0.828 0.580 0.657 S
0.829 0.077 0.657 S
0.171 0.923 0.343 S
0.500 0.500 0.000 S
0.172 0.420 0.343 S
```

Space group: Immm
Uncorrected formation energy: -1578 meV per atom

An optimized crystal structure of Th2OsS, computed with PBE-GGA.

```
Th2OsS
1.0
-1.242 1.450 -3.611
2.168 -0.785 -3.371
-3.506 -5.712 -3.399
S Os Th
1 1 2
direct
0.500 0.500 0.500 S
0.000 0.000 0.000 Os
0.259 0.259 0.223 Th
0.741 0.741 0.777 Th
```

Space group: R-3m
Uncorrected formation energy: -1055 meV per atom
Offset from the most stable computed form: 0 meV per atom

An optimized crystal structure of TiOsS2, computed with PBE-GGA.

```
TiOsS2
1.0
-2.729 -0.763 3.185
-3.494 -2.338 -0.701
-0.309 -3.919 1.649
S Os Ti
2 1 1
direct
0.250 0.250 0.250 S
0.750 0.750 0.750 S
0.500 0.500 0.500 Os
0.000 0.000 0.000 Ti
```

Space group: Fm-3m
Uncorrected formation energy: -184 meV per atom
Offset from the most stable computed form: 235 meV per atom

An optimized crystal structure of Ti2OsS2, computed with PBE-GGA.

```
Ti2OsS2
1.0
6.662 0.000 0.000
0.000 6.662 0.000
0.000 0.000 3.144
S Os Ti
4 2 4
direct
0.347 0.847 0.000 S
0.847 0.653 0.000 S
0.653 0.153 0.000 S
0.153 0.347 0.000 S
0.000 0.000 0.000 Os
0.500 0.500 0.000 Os
0.153 0.653 0.500 Ti
0.653 0.847 0.500 Ti
0.847 0.347 0.500 Ti
0.347 0.153 0.500 Ti
```

Space group: P4/mbm
Uncorrected formation energy: -637 meV per atom
Offset from the most stable computed form: 0 meV per atom

An optimized crystal structure of TiOsS2, computed with PBE-GGA.

```
TiOsS2
1.0
1.999 1.349 7.636
4.112 -0.662 6.839
4.506 2.271 6.218
S Os Ti
2 1 1
direct
0.904 0.904 0.904 S
0.096 0.096 0.096 S
0.000 0.000 0.000 Os
0.500 0.500 0.500 Ti
```

Space group: R-3m
Uncorrected formation energy: -419 meV per atom
Offset from the most stable computed form: 0 meV per atom

An optimized crystal structure of Ti2OsS2, computed with PBE-GGA.

```
Ti2OsS2
1.0
6.918 0.000 0.000
0.000 6.918 0.000
0.000 0.000 3.097
S Os Ti
4 2 4
direct
0.144 0.644 0.500 S
0.644 0.856 0.500 S
0.856 0.356 0.500 S
0.356 0.144 0.500 S
0.000 0.000 0.000 Os
0.500 0.500 0.000 Os
0.346 0.846 0.000 Ti
0.846 0.654 0.000 Ti
0.654 0.154 0.000 Ti
0.154 0.346 0.000 Ti
```

Space group: P4/mbm
Uncorrected formation energy: -326 meV per atom
Offset from the most stable computed form: 311 meV per atom

An optimized crystal structure of Ti2OsS, computed with PBE-GGA.

```
Ti2OsS
1.0
-0.382 4.960 4.492
-1.326 -4.466 4.819
1.886 -0.010 5.172
S Os Ti
2 2 4
direct
0.500 0.500 0.000 S
0.250 0.750 0.500 S
0.000 0.000 0.000 Os
0.750 0.250 0.500 Os
0.604 0.125 0.250 Ti
0.146 0.625 0.250 Ti
0.375 0.396 0.750 Ti
0.875 0.854 0.750 Ti
```

Space group: I-42d
Uncorrected formation energy: -220 meV per atom

So what do the calculations give for total energy? Going down the list: -8.4592 -4.9033 -6.8754 -3.4037 -5.3079 -4.8709 -5.0822 -5.6196 -4.3875 -4.8804 -4.0642 -5.3930 -8.0478 -7.5579 -7.6814 -3.1315 -8.3595 -8.2569 -8.5130 -7.7325 -8.6039 -7.0284 -7.6916 -7.2639 -7.3807 -8.0071 eV per atom.
So what do the calculations give for DOS at the Fermi energy? Going down the list: 4.74 3.75 3.95 5.72 6.61 3.45 3.37 3.35 3.32 4.49 8.34 6.35 8.77 5.95 8.08 3.55 2.82 4.91 1.86 3.77 1.91 4.13 8.41 2.00 9.38 6.68 states/eV/cell.
So what do the calculations give for M_tot? Going down the list: 0.00 0.00 0.00 0.00 0.00 0.00 0.00 0.00 0.00 0.00 0.00 4.31 0.00 0.00 0.00 3.88 0.00 0.00 0.00 0.00 0.00 0.00 0.00 0.00 0.00 0.00 μB per formula unit.